Entry 1:
AcPm2Al: optimized geometry, PBE.

Unit cell a=3.6945 b=3.6945 c=9.3997 alpha=90.00 beta=90.00 gamma=90.00
Closest atoms and distances in Å follow each position.
Fractional positions:
Al: 0.5000 0.5000 0.0000  8 Pm 3.23
Ac: 0.5000 0.5000 0.5000  4 Ac 3.69, 8 Pm 3.83
Pm: 0.0000 0.0000 0.7976  4 Al 3.23
Pm: 0.0000 0.0000 0.2024  4 Al 3.23

Summary:
* ΔE to the lowest computed polymorph: 0.000 eV per atom
* N(E_F): 1.056 states/eV/atom
* theoretical density: 7.0 g/cm³
* SG: P4/mmm, No. 123



Entry 2:
AcPm2Al: optimized geometry, PBE.

Unit cell a=5.6045 b=5.6045 c=5.6045 alpha=60.00 beta=60.00 gamma=60.00
Closest atoms and distances in Å follow each position.
Fractional positions:
Pm: 0.7500 0.7500 0.7500  4 Ac 3.43, 4 Al 3.43
Pm: 0.2500 0.2500 0.2500  4 Al 3.43, 4 Ac 3.43
Al: 0.0000 0.0000 0.0000  8 Pm 3.43
Ac: 0.5000 0.5000 0.5000  8 Pm 3.43

Summary:
* ΔE to the lowest computed polymorph: 0.193 eV per atom
* N(E_F): 1.868 states/eV/atom
* theoretical density: 7.3 g/cm³
* SG: Fm-3m, No. 225